The following is a PBE calculation of crystalline Zn8GaRh2 at its relaxed geometry, from Alexandria.

Geometry as POSCAR:
```
Zn8GaRh2
1.0
-3.4524 -1.0775 -2.1369
4.1378 -5.3811 -3.9758
0.9426 -6.2146 1.6086
Ga Zn Rh
1 8 2
Cartesian
-1.7262 -0.5387 -1.0685 Ga
1.0143 -4.1035 -3.7021 Zn
0.6136 -8.5696 -0.8020 Zn
-3.0542 -2.9757 -1.8210 Zn
4.6821 -9.6974 -2.6831 Zn
-0.2238 -5.0010 -1.2478 Zn
3.1152 -5.4352 -2.2985 Zn
1.8518 -7.6721 -3.2563 Zn
-1.4872 -7.2379 -2.2056 Zn
3.3028 -7.9942 -1.3092 Rh
1.7776 -3.6015 -1.0580 Rh
```

Values from the calculation:
Space group: No. 65
Calculated formation energy (eV per atom): -0.1538